Entry 1:
## Ce2AlSi2Ir5 (GGA-PBE)

Data for crystalline Ce2AlSi2Ir5 at its relaxed geometry.

The formation energy from raw total energies comes out at -745 meV/atom. The calculation puts the total energy at -0.2874 hartree per atom. As for the total moment: 0.082 μB per atom.

It has space group P4/mbm (No. 127), with a = 9.718 Å, b = 9.718 Å, c = 3.599 Å, α = 90.00°, β = 90.00° and γ = 90.00°. The distinct sites, in fractional coordinates, are Ce at (0.177, 0.323, 0.000), Al at (0.000, 0.000, 0.000), Si at (0.123, 0.623, 0.000), Ir at (0.000, 0.500, 0.500) and Ir at (0.066, 0.788, 0.500).



Entry 2:
## KHfTe3 (GGA-PBE)

Data for crystalline KHfTe3 at its relaxed geometry.

The formation energy from raw total energies comes out at -720 meV/atom. The calculation puts the total energy at -0.1770 hartree per atom. As for the energy above the most stable polymorph in this dataset: 0.0483 eV/atom. As for the total moment: 0.000 μB per atom.

It has space group Pmmm (No. 47), with a = 4.114 Å, b = 5.609 Å, c = 7.620 Å, α = 90.00°, β = 90.00° and γ = 90.00°. The distinct sites, in fractional coordinates, are K at (0.000, 0.000, 0.000), Hf at (0.000, 0.500, 0.500), Te at (0.000, 0.000, 0.500) and Te at (0.500, 0.500, 0.233).



Entry 3:
## Ca5Tl2Au (GGA-PBE)

Data for crystalline Ca5Tl2Au at its relaxed geometry.

The calculation puts the total energy at -0.0993 hartree per atom. As for the total moment: 0.000 μB per atom. Its formation energy is -0.450 eV/atom.

It has space group Pbam (No. 55), with a = 7.037 Å, b = 13.000 Å, c = 5.304 Å, α = 90.00°, β = 90.00° and γ = 90.00°. The distinct sites, in fractional coordinates, are Ca at (0.000, 0.000, 0.000), Ca at (0.128, 0.283, 0.000), Ca at (0.169, 0.596, 0.500), Tl at (0.121, 0.851, 0.500) and Au at (0.000, 0.500, 0.000).



Entry 4:
## KCr2Cl (GGA-PBE)

Data for crystalline KCr2Cl at its relaxed geometry.

The formation energy from raw total energies comes out at 5 meV/atom. The calculation puts the total energy at -0.2037 hartree per atom. As for the energy above the most stable polymorph in this dataset: 0.0000 eV/atom. As for the total moment: 0.040 μB per atom.

It has space group Pm (No. 6), with a = 3.443 Å, b = 3.276 Å, c = 8.025 Å, α = 90.00°, β = 102.38° and γ = 90.00°. The distinct sites, in fractional coordinates, are K at (0.000, 0.000, 0.000), Cr at (0.247, 0.000, 0.490), Cr at (0.682, 0.500, 0.359) and Cl at (0.381, 0.500, 0.761).



Entry 5:
## Tm3Zn2Cu7 (GGA-PBE)

Data for crystalline Tm3Zn2Cu7 at its relaxed geometry.

The calculation puts the total energy at -0.1462 hartree per atom. As for the total moment: 0.000 μB per atom. Its formation energy is -0.258 eV/atom.

It has space group R-3m (No. 166, hexagonal axes), with a = 5.1879 Å, b = 5.1879 Å, c = 24.7308 Å, α = 90.00°, β = 90.00° and γ = 120.00°. The distinct sites, in fractional coordinates, are Tm at (0.0000, 0.0000, 0.0000), Tm at (0.0000, 0.0000, 0.1417), Zn at (0.0000, 0.0000, 0.3327), Cu at (0.0000, 0.0000, 0.5000) and Cu at (0.0010, 0.5005, 0.9164).



Entry 6:
## ThZn4Pd4 (GGA-PBE)

Data for crystalline ThZn4Pd4 at its relaxed geometry.

The calculation puts the total energy at -0.1538 hartree per atom. As for the total moment: 0.000 μB per atom. Its formation energy is -0.488 eV/atom.

It has space group I4/m (No. 87), with a = 8.402 Å, b = 8.402 Å, c = 4.383 Å, α = 90.00°, β = 90.00° and γ = 90.00°. The distinct sites, in fractional coordinates, are Th at (0.000, 0.000, 0.000), Zn at (0.084, 0.378, 0.000) and Pd at (0.126, 0.218, 0.500).



Entry 7:
## Ta2TcHg (GGA-PBE)

Data for crystalline Ta2TcHg at its relaxed geometry.

The calculation puts the total energy at -0.3087 hartree per atom. As for the total moment: 0.000 μB per atom. Its formation energy is 0.194 eV/atom.

It has space group Cmmm (No. 65), with a = 5.771 Å, b = 7.776 Å, c = 3.137 Å, α = 90.00°, β = 90.00° and γ = 90.00°. The distinct sites, in fractional coordinates, are Ta at (0.250, 0.250, 0.000), Tc at (0.000, 0.000, 0.500) and Hg at (0.000, 0.500, 0.500).



Entry 8:
## KCo2Tc (GGA-PBE)

Data for crystalline KCo2Tc at its relaxed geometry.

The calculation puts the total energy at -0.2076 hartree per atom. As for the energy above the most stable polymorph in this dataset: 0.0822 eV/atom. As for the total moment: 0.632 μB per atom. Its formation energy is 0.770 eV/atom.

It has space group Pmm2 (No. 25), with a = 2.635 Å, b = 3.478 Å, c = 7.915 Å, α = 90.00°, β = 90.00° and γ = 90.00°. The distinct sites, in fractional coordinates, are K at (0.000, 0.000, 0.000), Co at (0.000, 0.000, 0.523), Co at (0.500, 0.500, 0.667) and Tc at (0.500, 0.500, 0.364).



Number 1: DOS(E_F) 0.910 states/eV/atom. Number 2: DOS(E_F) 0.718 states/eV/atom. Number 3: DOS(E_F) 0.997 states/eV/atom. Number 4: DOS(E_F) 0.269 states/eV/atom. Number 5: DOS(E_F) 0.410 states/eV/atom. Number 6: DOS(E_F) 0.328 states/eV/atom. Number 7: DOS(E_F) 0.629 states/eV/atom. Number 8: DOS(E_F) 1.357 states/eV/atom.